VASP calculation (PBE) on a geometry-optimized VBW structure.

Properties
Offset from the most stable computed form ... 605 meV per atom
DOS at the Fermi energy ... 6.830 states/eV per cell
Crystal system ... tetragonal

CIF file:
```
data_VBW
_chemical_formula_sum 'V2 B2 W2'
_cell_length_a 2.7153
_cell_length_b 2.7153
_cell_length_c 9.7739
_cell_angle_alpha 90.00
_cell_angle_beta 90.00
_cell_angle_gamma 90.00
_symmetry_space_group_name_H-M 'I 4 m m'
_symmetry_Int_Tables_number 107
_symmetry_space_group_name_Hall 'I 4 -2'
loop_
_atom_site_label
_atom_site_type_symbol
_atom_site_fract_x
_atom_site_fract_y
_atom_site_fract_z
_atom_site_occupancy
V1 V 0.0000 0.0000 0.0000 1
B1 B 0.0000 0.0000 0.3675 1
W1 W 0.0000 0.0000 0.7267 1
```



VASP calculation (PBE) on a geometry-optimized VBW structure.

Properties
Offset from the most stable computed form ... 0 meV per atom
DOS at the Fermi energy ... 10.721 states/eV per cell
Crystal system ... orthorhombic

CIF file:
```
data_VBW
_chemical_formula_sum 'V8 B8 W8'
_cell_length_a 4.6446
_cell_length_b 7.7023
_cell_length_c 7.7954
_cell_angle_alpha 90.00
_cell_angle_beta 90.00
_cell_angle_gamma 90.00
_symmetry_space_group_name_H-M 'F m m m'
_symmetry_Int_Tables_number 69
_symmetry_space_group_name_Hall '-F 2 2'
loop_
_atom_site_label
_atom_site_type_symbol
_atom_site_fract_x
_atom_site_fract_y
_atom_site_fract_z
_atom_site_occupancy
V1 V 0.0000 0.1729 0.0000 1
B1 B 0.2500 0.2500 0.2500 1
W1 W 0.0000 0.0000 0.3316 1
```



VASP calculation (PBE) on a geometry-optimized V2B2W structure.

Properties
Offset from the most stable computed form ... 279 meV per atom
DOS at the Fermi energy ... 10.557 states/eV per cell
Crystal system ... hexagonal

CIF file:
```
data_V2B2W
_chemical_formula_sum 'V4 B4 W2'
_cell_length_a 2.8939
_cell_length_b 2.8939
_cell_length_c 15.2061
_cell_angle_alpha 90.00
_cell_angle_beta 90.00
_cell_angle_gamma 120.00
_symmetry_space_group_name_H-M 'P 63/m m c'
_symmetry_Int_Tables_number 194
_symmetry_space_group_name_Hall '-P 6c 2c'
loop_
_atom_site_label
_atom_site_type_symbol
_atom_site_fract_x
_atom_site_fract_y
_atom_site_fract_z
_atom_site_occupancy
V1 V 0.0000 0.0000 0.0985 1
B1 B 0.3333 0.6667 0.0014 1
W1 W 0.3333 0.6667 0.7500 1
```



VASP calculation (PBE) on a geometry-optimized V2B2W structure.

Properties
Offset from the most stable computed form ... 0 meV per atom
DOS at the Fermi energy ... 1.760 states/eV per cell
Crystal system ... tetragonal

CIF file:
```
data_V2B2W
_chemical_formula_sum 'V4 B4 W2'
_cell_length_a 5.8645
_cell_length_b 5.8645
_cell_length_c 3.0654
_cell_angle_alpha 90.00
_cell_angle_beta 90.00
_cell_angle_gamma 90.00
_symmetry_space_group_name_H-M 'P 4/m b m'
_symmetry_Int_Tables_number 127
_symmetry_space_group_name_Hall '-P 4 2ab'
loop_
_atom_site_label
_atom_site_type_symbol
_atom_site_fract_x
_atom_site_fract_y
_atom_site_fract_z
_atom_site_occupancy
V1 V 0.1752 0.3248 0.0000 1
B1 B 0.1102 0.6102 0.5000 1
W1 W 0.0000 0.0000 0.5000 1
```



VASP calculation (PBE) on a geometry-optimized V3BW structure.

Properties
Offset from the most stable computed form ... 0 meV per atom
DOS at the Fermi energy ... 12.914 states/eV per cell
Crystal system ... orthorhombic

CIF file:
```
data_V3BW
_chemical_formula_sum 'V12 B4 W4'
_cell_length_a 4.7245
_cell_length_b 6.7200
_cell_length_c 8.1074
_cell_angle_alpha 90.00
_cell_angle_beta 90.00
_cell_angle_gamma 90.00
_symmetry_space_group_name_H-M 'P n m a'
_symmetry_Int_Tables_number 62
loop_
_symmetry_equiv_pos_as_xyz
'x,y,z'
'-x,-y,-z'
'-x+1/2,-y,z+1/2'
'x+1/2,y,-z+1/2'
'x+1/2,-y+1/2,-z+1/2'
'-x+1/2,y+1/2,z+1/2'
'-x,y+1/2,-z'
'x,-y+1/2,z'
loop_
_atom_site_label
_atom_site_type_symbol
_atom_site_fract_x
_atom_site_fract_y
_atom_site_fract_z
_atom_site_occupancy
V1 V 0.1884 0.0636 0.1784 1
V2 V 0.2249 0.7500 0.9665 1
B1 B 0.0000 0.0000 0.5000 1
W1 W 0.2034 0.7500 0.3588 1
```



VASP calculation (PBE) on a geometry-optimized VBW structure.

Properties
Offset from the most stable computed form ... 109 meV per atom
DOS at the Fermi energy ... 17.266 states/eV per cell
Crystal system ... monoclinic

CIF file:
```
data_VBW
_chemical_formula_sum 'V10 B10 W10'
_cell_length_a 10.3172
_cell_length_b 3.1088
_cell_length_c 10.9429
_cell_angle_alpha 90.00
_cell_angle_beta 90.43
_cell_angle_gamma 90.00
_symmetry_space_group_name_H-M 'C 1 m 1'
_symmetry_Int_Tables_number 8
loop_
_symmetry_equiv_pos_as_xyz
'x,y,z'
'x,-y,z'
'x+1/2,y+1/2,z'
'x+1/2,-y+1/2,z'
loop_
_atom_site_label
_atom_site_type_symbol
_atom_site_fract_x
_atom_site_fract_y
_atom_site_fract_z
_atom_site_occupancy
V1 V 0.0000 0.0000 0.0000 1
V2 V 0.0249 0.0000 0.5854 1
V3 V 0.0714 0.5000 0.4198 1
V4 V 0.1424 0.0000 0.8088 1
V5 V 0.4465 0.0000 0.1875 1
B1 B 0.1365 0.5000 0.0876 1
B2 B 0.2171 0.0000 0.4664 1
B3 B 0.2997 0.5000 0.1557 1
B4 B 0.3003 0.5000 0.8435 1
B5 B 0.3807 0.0000 0.5363 1
W1 W 0.1608 0.0000 0.2426 1
W2 W 0.2465 0.5000 0.6291 1
W3 W 0.2749 0.0000 0.9983 1
W4 W 0.3545 0.5000 0.3715 1
W5 W 0.4341 0.0000 0.7642 1
```



VASP calculation (PBE) on a geometry-optimized VBW structure.

Properties
Offset from the most stable computed form ... 928 meV per atom
DOS at the Fermi energy ... 0.906 states/eV per cell
Crystal system ... trigonal

CIF file:
```
data_VBW
_chemical_formula_sum 'V1 B1 W1'
_cell_length_a 4.0755
_cell_length_b 4.0755
_cell_length_c 2.6003
_cell_angle_alpha 90.00
_cell_angle_beta 90.00
_cell_angle_gamma 120.00
_symmetry_space_group_name_H-M 'P 3 m 1'
_symmetry_Int_Tables_number 156
loop_
_symmetry_equiv_pos_as_xyz
'x,y,z'
'-y,x-y,z'
'-x+y,-x,z'
'-y,-x,z'
'-x+y,y,z'
'x,x-y,z'
loop_
_atom_site_label
_atom_site_type_symbol
_atom_site_fract_x
_atom_site_fract_y
_atom_site_fract_z
_atom_site_occupancy
V1 V 0.0000 0.0000 0.0000 1
B1 B 0.3333 0.6667 0.3335 1
W1 W 0.6667 0.3333 0.5802 1
```



VASP calculation (PBE) on a geometry-optimized V2B2W structure.

Properties
Offset from the most stable computed form ... 906 meV per atom
DOS at the Fermi energy ... 15.055 states/eV per cell
Crystal system ... orthorhombic

CIF file:
```
data_V2B2W
_chemical_formula_sum 'V8 B8 W4'
_cell_length_a 4.8325
_cell_length_b 11.1592
_cell_length_c 4.6991
_cell_angle_alpha 90.00
_cell_angle_beta 90.00
_cell_angle_gamma 90.00
_symmetry_space_group_name_H-M 'C m c m'
_symmetry_Int_Tables_number 63
_symmetry_space_group_name_Hall '-C 2c 2'
loop_
_atom_site_label
_atom_site_type_symbol
_atom_site_fract_x
_atom_site_fract_y
_atom_site_fract_z
_atom_site_occupancy
V1 V 0.0000 0.0816 0.2500 1
V2 V 0.0000 0.2962 0.7500 1
B1 B 0.1745 0.1100 0.7500 1
W1 W 0.0000 0.5000 0.0000 1
```



VASP calculation (PBE) on a geometry-optimized V3BW structure.

Properties
Offset from the most stable computed form ... 2123 meV per atom
DOS at the Fermi energy ... 5.525 states/eV per cell
Crystal system ... cubic

CIF file:
```
data_V3BW
_chemical_formula_sum 'V3 B1 W1'
_cell_length_a 4.5313
_cell_length_b 4.5313
_cell_length_c 4.5313
_cell_angle_alpha 90.00
_cell_angle_beta 90.00
_cell_angle_gamma 90.00
_symmetry_space_group_name_H-M 'P m -3 m'
_symmetry_Int_Tables_number 221
_symmetry_space_group_name_Hall '-P 4 2 3'
loop_
_atom_site_label
_atom_site_type_symbol
_atom_site_fract_x
_atom_site_fract_y
_atom_site_fract_z
_atom_site_occupancy
V1 V 0.0000 0.0000 0.5000 1
B1 B 0.5000 0.5000 0.5000 1
W1 W 0.0000 0.0000 0.0000 1
```



VASP calculation (PBE) on a geometry-optimized V2B2W structure.

Properties
Offset from the most stable computed form ... 966 meV per atom
DOS at the Fermi energy ... 8.277 states/eV per cell
Crystal system ... tetragonal

CIF file:
```
data_V2B2W
_chemical_formula_sum 'V4 B4 W2'
_cell_length_a 6.6140
_cell_length_b 6.6140
_cell_length_c 2.5301
_cell_angle_alpha 90.00
_cell_angle_beta 90.00
_cell_angle_gamma 90.00
_symmetry_space_group_name_H-M 'P 4/m b m'
_symmetry_Int_Tables_number 127
_symmetry_space_group_name_Hall '-P 4 2ab'
loop_
_atom_site_label
_atom_site_type_symbol
_atom_site_fract_x
_atom_site_fract_y
_atom_site_fract_z
_atom_site_occupancy
V1 V 0.1257 0.3743 0.0000 1
B1 B 0.1731 0.6731 0.5000 1
W1 W 0.0000 0.0000 0.0000 1
```



VASP calculation (PBE) on a geometry-optimized VBW2 structure.

Properties
DOS at the Fermi energy ... 3.808 states/eV per cell
Crystal system ... monoclinic

CIF file:
```
data_VBW2
_chemical_formula_sum 'V2 B2 W4'
_cell_length_a 3.1451
_cell_length_b 7.3491
_cell_length_c 4.7860
_cell_angle_alpha 90.00
_cell_angle_beta 109.09
_cell_angle_gamma 90.00
_symmetry_space_group_name_H-M 'P 1 21/m 1'
_symmetry_Int_Tables_number 11
loop_
_symmetry_equiv_pos_as_xyz
'x,y,z'
'-x,-y,-z'
'-x,y+1/2,-z'
'x,-y+1/2,z'
loop_
_atom_site_label
_atom_site_type_symbol
_atom_site_fract_x
_atom_site_fract_y
_atom_site_fract_z
_atom_site_occupancy
V1 V 0.0525 0.2500 0.1028 1
B1 B 0.2467 0.7500 0.4931 1
W1 W 0.3560 0.0585 0.7129 1
```



VASP calculation (PBE) on a geometry-optimized V5B2W structure.

Properties
DOS at the Fermi energy ... 13.177 states/eV per cell
Crystal system ... orthorhombic

CIF file:
```
data_V5B2W
_chemical_formula_sum 'V10 B4 W2'
_cell_length_a 3.1048
_cell_length_b 7.1391
_cell_length_c 8.4657
_cell_angle_alpha 90.00
_cell_angle_beta 90.00
_cell_angle_gamma 90.00
_symmetry_space_group_name_H-M 'I m m m'
_symmetry_Int_Tables_number 71
_symmetry_space_group_name_Hall '-I 2 2'
loop_
_atom_site_label
_atom_site_type_symbol
_atom_site_fract_x
_atom_site_fract_y
_atom_site_fract_z
_atom_site_occupancy
V1 V 0.0000 0.0000 0.0000 1
V2 V 0.0000 0.3119 0.3403 1
B1 B 0.0000 0.0000 0.2821 1
W1 W 0.0000 0.5000 0.0000 1
```



| no. | DFT formation energy (eV/atom) | uncorrected energy (eV/atom) |
| --- | --- | --- |
| 1 | 0.15 | -9.4322 |
| 2 | -0.45 | -10.0374 |
| 3 | -0.34 | -9.2467 |
| 4 | -0.62 | -9.5259 |
| 5 | 0.05 | -9.3423 |
| 6 | -0.35 | -9.9281 |
| 7 | 0.47 | -9.1095 |
| 8 | 0.29 | -8.6195 |
| 9 | 2.18 | -7.2189 |
| 10 | 0.35 | -8.5600 |
| 11 | -0.20 | -10.6262 |
| 12 | -0.21 | -9.1949 |